Run 1
First-principles (PBE-GGA) data for a relaxed NbTl2Cd crystal, as listed in Alexandria.

Cell and atoms, written as CIF:
```
data_NbTl2Cd
_chemical_formula_sum 'Nb4 Tl8 Cd4'
_cell_length_a 7.906
_cell_length_b 7.906
_cell_length_c 6.221
_cell_angle_alpha 90.00
_cell_angle_beta 90.00
_cell_angle_gamma 90.00
_space_group_name_H-M_alt 'I -4 2 d'
_space_group_IT_number 122
_space_group_name_Hall 'I -4 2bw'
loop_
_atom_site_label
_atom_site_type_symbol
_atom_site_fract_x
_atom_site_fract_y
_atom_site_fract_z
Nb1 Nb 0.000 0.000 0.000
Tl1 Tl 0.249 0.250 0.625
Cd1 Cd 0.000 0.000 0.500
```


Run 2
First-principles (PBE-GGA) data for a relaxed NbTl2Cd crystal, as listed in Alexandria.

Cell and atoms, written as CIF:
```
data_NbTl2Cd
_chemical_formula_sum 'Nb3 Tl6 Cd3'
_cell_length_a 3.0848
_cell_length_b 3.0848
_cell_length_c 36.9836
_cell_angle_alpha 90.00
_cell_angle_beta 90.00
_cell_angle_gamma 120.00
_space_group_name_H-M_alt 'R -3 m'
_space_group_IT_number 166
_space_group_name_Hall '-R 3 2"'
loop_
_atom_site_label
_atom_site_type_symbol
_atom_site_fract_x
_atom_site_fract_y
_atom_site_fract_z
Nb1 Nb 0.0000 0.0000 0.0000
Tl1 Tl 0.0000 0.0000 0.0812
Cd1 Cd 0.0000 0.0000 0.5000
```


Run 3
First-principles (PBE-GGA) data for a relaxed NbTl2Cd crystal, as listed in Alexandria.

Cell and atoms, written as CIF:
```
data_NbTl2Cd
_chemical_formula_sum 'Nb4 Tl8 Cd4'
_cell_length_a 7.220
_cell_length_b 7.220
_cell_length_c 7.220
_cell_angle_alpha 90.00
_cell_angle_beta 90.00
_cell_angle_gamma 90.00
_space_group_name_H-M_alt 'F m -3 m'
_space_group_IT_number 225
_space_group_name_Hall '-F 4 2 3'
loop_
_atom_site_label
_atom_site_type_symbol
_atom_site_fract_x
_atom_site_fract_y
_atom_site_fract_z
Nb1 Nb 0.000 0.000 0.000
Tl1 Tl 0.250 0.250 0.250
Cd1 Cd 0.000 0.000 0.500
```


Last place for stability: run 1


Run 1
First-principles (PBE-GGA) data for a relaxed NbTlCd3 crystal, as listed in Alexandria.

Cell and atoms, written as CIF:
```
data_NbTlCd3
_chemical_formula_sum 'Nb1 Tl1 Cd3'
_cell_length_a 5.574
_cell_length_b 5.574
_cell_length_c 5.574
_cell_angle_alpha 90.00
_cell_angle_beta 90.00
_cell_angle_gamma 90.00
_space_group_name_H-M_alt 'P m -3 m'
_space_group_IT_number 221
_space_group_name_Hall '-P 4 2 3'
loop_
_atom_site_label
_atom_site_type_symbol
_atom_site_fract_x
_atom_site_fract_y
_atom_site_fract_z
Nb1 Nb 0.000 0.000 0.000
Tl1 Tl 0.500 0.500 0.500
Cd1 Cd 0.000 0.000 0.500
```


Run 2
First-principles (PBE-GGA) data for a relaxed NbTlCd3 crystal, as listed in Alexandria.

Cell and atoms, written as CIF:
```
data_NbTlCd3
_chemical_formula_sum 'Nb1 Tl1 Cd3'
_cell_length_a 5.286
_cell_length_b 5.286
_cell_length_c 5.286
_cell_angle_alpha 90.00
_cell_angle_beta 90.00
_cell_angle_gamma 90.00
_space_group_name_H-M_alt 'P m -3 m'
_space_group_IT_number 221
_space_group_name_Hall '-P 4 2 3'
loop_
_atom_site_label
_atom_site_type_symbol
_atom_site_fract_x
_atom_site_fract_y
_atom_site_fract_z
Nb1 Nb 0.000 0.000 0.000
Tl1 Tl 0.500 0.500 0.500
Cd1 Cd 0.000 0.500 0.500
```


Last place for stability: run 2